(1)
Below is an optimized crystal structure of Nd3SBr7, with properties calculated at the PBE-GGA level.

- Uncorrected energy: -4.61 eV per atom
- SG: P3m1
- E_form (uncorrected): -1.87 eV/atom

Cell lengths 8.634, 8.634, 6.972 Å; angles 90.00, 90.00, 120.00 degrees
Positions (direct):
1 Nd 0.013 0.507 0.000
2 Nd 0.493 0.507 0.000
3 Nd 0.493 0.987 0.000
4 S 0.333 0.667 0.191
5 Br 0.172 0.345 0.762
6 Br 0.172 0.828 0.762
7 Br 0.350 0.175 0.219
8 Br 0.655 0.828 0.762
9 Br 0.667 0.333 0.759
10 Br 0.825 0.175 0.219
11 Br 0.825 0.650 0.219

(2)
Below is an optimized crystal structure of La3CeSm12, with properties calculated at the PBE-GGA level.

- Uncorrected energy: -4.80 eV per atom
- SG: P4/mmm
- Formation energy: 3.1 kJ/mol of atoms

Cell lengths 5.158, 5.158, 20.607 Å; angles 90.00, 90.00, 90.00 degrees
Positions (direct):
1 La 0.000 0.000 0.000
2 La 0.000 0.000 0.252
3 La 0.000 0.000 0.748
4 Ce 0.000 0.000 0.500
5 Sm 0.000 0.500 0.126
6 Sm 0.000 0.500 0.379
7 Sm 0.000 0.500 0.621
8 Sm 0.000 0.500 0.874
9 Sm 0.500 0.000 0.126
10 Sm 0.500 0.000 0.379
11 Sm 0.500 0.000 0.621
12 Sm 0.500 0.000 0.874
13 Sm 0.500 0.500 0.000
14 Sm 0.500 0.500 0.252
15 Sm 0.500 0.500 0.500
16 Sm 0.500 0.500 0.748

(3)
Below is an optimized crystal structure of Nd3Sm7Dy2, with properties calculated at the PBE-GGA level.

- Uncorrected energy: -4.63 eV per atom
- SG: P2/m
- Formation energy: 8.3 kJ/mol of atoms

Cell lengths 5.931, 3.617, 19.108 Å; angles 90.00, 93.07, 90.00 degrees
Positions (direct):
1 Nd 0.000 0.000 0.000
2 Nd 0.281 0.500 0.634
3 Nd 0.719 0.500 0.366
4 Sm 0.187 0.500 0.145
5 Sm 0.243 0.000 0.464
6 Sm 0.311 0.000 0.821
7 Sm 0.500 0.500 0.000
8 Sm 0.689 0.000 0.179
9 Sm 0.757 0.000 0.536
10 Sm 0.813 0.500 0.855
11 Dy 0.209 0.000 0.295
12 Dy 0.791 0.000 0.705

(4)
Below is an optimized crystal structure of PrY14In, with properties calculated at the PBE-GGA level.

- Uncorrected energy: -6.15 eV per atom
- SG: Amm2
- Formation energy: -2.5 kJ/mol of atoms

Cell lengths 10.942, 6.966, 6.966 Å; angles 74.84, 90.00, 90.00 degrees
Positions (direct):
1 Pr 0.000 0.000 0.000
2 Y 0.000 0.062 0.474
3 Y 0.000 0.474 0.062
4 Y 0.221 0.765 0.765
5 Y 0.244 0.276 0.691
6 Y 0.244 0.691 0.276
7 Y 0.275 0.204 0.204
8 Y 0.500 0.426 0.426
9 Y 0.500 0.505 0.906
10 Y 0.500 0.906 0.505
11 Y 0.500 0.976 0.976
12 Y 0.725 0.204 0.204
13 Y 0.756 0.276 0.691
14 Y 0.756 0.691 0.276
15 Y 0.779 0.765 0.765
16 In 0.000 0.548 0.548

What did the third record say?
Below is an optimized crystal structure of Nd3Sm7Dy2, with properties calculated at the PBE-GGA level.

- Uncorrected energy: -4.63 eV per atom
- SG: P2/m
- Formation energy: 8.3 kJ/mol of atoms

Cell lengths 5.931, 3.617, 19.108 Å; angles 90.00, 93.07, 90.00 degrees
Positions (direct):
1 Nd 0.000 0.000 0.000
2 Nd 0.281 0.500 0.634
3 Nd 0.719 0.500 0.366
4 Sm 0.187 0.500 0.145
5 Sm 0.243 0.000 0.464
6 Sm 0.311 0.000 0.821
7 Sm 0.500 0.500 0.000
8 Sm 0.689 0.000 0.179
9 Sm 0.757 0.000 0.536
10 Sm 0.813 0.500 0.855
11 Dy 0.209 0.000 0.295
12 Dy 0.791 0.000 0.705